VASP calculation (GGA-PBEsol) on CaFeCl after structural relaxation.

Cell: 4.8150 4.8150 4.8150 Å, 60.00 60.00 60.00°
Atoms (fractional coordinates):
Ca 0.0000 0.0000 0.0000
Fe 0.7500 0.7500 0.7500
Cl 0.2500 0.2500 0.2500

Summary:
Raw formation energy in eV/atom: 0.297
Calculated total energy in eV/atom: -4.071
Total moment in μB per cell: 3.00
Space group: No. 216